# Er6Sc2S3 (GGA-PBE, relaxed)
# Uncorrected formation energy   -0.99 eV/atom
# Spin magnetization   0.04 μB per cell
data_Er6Sc2S3
_cell_length_a 3.6602
_cell_length_b 3.6602
_cell_length_c 70.9459
_cell_angle_alpha 90.00
_cell_angle_beta 90.00
_cell_angle_gamma 120.00
_symmetry_space_group_name_H-M 'R -3 m'
_symmetry_Int_Tables_number 166
_symmetry_space_group_name_Hall '-R 3 2"'
loop_
_atom_site_label
_atom_site_type_symbol
_atom_site_fract_x
_atom_site_fract_y
_atom_site_fract_z
Er1 Er 0.0000 0.0000 0.0719
Er2 Er 0.0000 0.0000 0.1864
Er3 Er 0.0000 0.0000 0.3574
Sc1 Sc 0.0000 0.0000 0.4427
S1 S 0.0000 0.0000 0.0000
S2 S 0.0000 0.0000 0.2859

# ErScS2 (GGA-PBE, relaxed)
# Uncorrected formation energy   -1.91 eV/atom
# Spin magnetization   0.00 μB per cell
# Energy above the lowest structure with this stoichiometry   0 meV per atom
data_ErScS2
_cell_length_a 3.7909
_cell_length_b 3.7909
_cell_length_c 18.4068
_cell_angle_alpha 90.00
_cell_angle_beta 90.00
_cell_angle_gamma 120.00
_symmetry_space_group_name_H-M 'R -3 m'
_symmetry_Int_Tables_number 166
_symmetry_space_group_name_Hall '-R 3 2"'
loop_
_atom_site_label
_atom_site_type_symbol
_atom_site_fract_x
_atom_site_fract_y
_atom_site_fract_z
Er1 Er 0.0000 0.0000 0.0000
Sc1 Sc 0.0000 0.0000 0.5000
S1 S 0.0000 0.0000 0.2458

# ErSc3S6 (GGA-PBE, relaxed)
# Uncorrected formation energy   -1.93 eV/atom
# Spin magnetization   0.00 μB per cell
# Energy above the lowest structure with this stoichiometry   0 meV per atom
data_ErSc3S6
_cell_length_a 10.6156
_cell_length_b 3.7526
_cell_length_c 10.8026
_cell_angle_alpha 90.00
_cell_angle_beta 109.49
_cell_angle_gamma 90.00
_symmetry_space_group_name_H-M 'P 1 21/m 1'
_symmetry_Int_Tables_number 11
loop_
_symmetry_equiv_pos_as_xyz
'x,y,z'
'-x,-y,-z'
'-x,y+1/2,-z'
'x,-y+1/2,z'
loop_
_atom_site_label
_atom_site_type_symbol
_atom_site_fract_x
_atom_site_fract_y
_atom_site_fract_z
Er1 Er 0.0477 0.2500 0.1966
Sc1 Sc 0.1603 0.2500 0.5867
Sc2 Sc 0.3176 0.7500 0.0003
Sc3 Sc 0.4391 0.2500 0.3346
S1 S 0.0807 0.7500 0.4069
S2 S 0.1160 0.2500 0.9652
S3 S 0.1990 0.7500 0.7498
S4 S 0.2634 0.7500 0.2288
S5 S 0.3934 0.2500 0.5599
S6 S 0.4753 0.2500 0.1133

# Er2Sc4S9 (GGA-PBE, relaxed)
# Uncorrected formation energy   -1.93 eV/atom
# Spin magnetization   0.00 μB per cell
data_Er2Sc4S9
_cell_length_a 6.5942
_cell_length_b 6.5942
_cell_length_c 17.8987
_cell_angle_alpha 90.00
_cell_angle_beta 90.00
_cell_angle_gamma 120.00
_symmetry_space_group_name_H-M 'P -3 c 1'
_symmetry_Int_Tables_number 165
_symmetry_space_group_name_Hall '-P 3 2"c'
loop_
_atom_site_label
_atom_site_type_symbol
_atom_site_fract_x
_atom_site_fract_y
_atom_site_fract_z
Er1 Er 0.0000 0.0000 0.1495
Sc1 Sc 0.3333 0.6667 0.0116
Sc2 Sc 0.3333 0.6667 0.3195
S1 S 0.0000 0.3165 0.2500
S2 S 0.0234 0.3739 0.9169